Computed, not measured: a geometry-optimized TbGaPd structure at the PBEsol level of DFT.

Calculated values
DFT formation energy ... -0.918 eV/atom
Mass density ... 9.76 g/cm3
VASP energy ... -5.6873 eV per atom
V ... 19.0 Å³ per atom

abc: 6.854 4.419 7.529
angles: 90.00 90.00 90.00
Space group Pnma (No. 62)
Asymmetric unit:
Tb1 0.018 0.250 0.197 x4
Ga1 0.174 0.250 0.577 x4
Pd1 0.218 0.750 0.404 x4